First-principles (PBE+U) data for a relaxed structure of Ba3ErMn2O9, as listed in Alexandria via LeMat-Bulk.

Properties
The calculation puts the distance to the lowest polymorph of the same formula at 0 meV per atom. For the magnetic moment, the calculation gives 14.16 μB per cell.

Cell: 5.8911 5.8911 14.4454 Å, 90.00 90.00 120.00°
Space group P6_3/mmc (No. 194)
Inequivalent atoms, fractional coordinates:
Ba 0.0000 0.0000 0.2500 x2
Ba 0.3333 0.6667 0.0944 x4
Er 0.0000 0.0000 0.0000 x2
Mn 0.3333 0.6667 0.6593 x4
O 0.0436 0.5218 0.7500 x6
O 0.1767 0.3535 0.5882 x12